A relaxed DyEr6Tm12 crystal, computed with PBE.

Properties
spin magnetization	0.000	μB per formula unit
N(E_F)	93.185	states/eV per cell
calculated formation energy	0.166	eV/atom
V	31.038	A^3/atom
energy above the most stable polymorph in this dataset	0.00	kJ/mol of atoms

Lattice parameters (Å, degrees): 11.6642 11.6642 15.0150 90.00 90.00 120.00
Space group R-3 (No. 148, hexagonal axes)
Unique sites:
Dy 0.0000 0.0000 0.0000 (multiplicity 3)
Er 0.0092 0.4224 0.6770 (multiplicity 18)
Tm 0.0211 0.8372 0.1917 (multiplicity 18)
Tm 0.0394 0.8516 0.4154 (multiplicity 18)